No. 1
DFT (PBE-GGA) results for As2PSe2 after structural relaxation.

Unit cell a=7.7791 b=7.7791 c=3.5360 alpha=90.00 beta=90.00 gamma=90.00
Positions (direct):
P  0.0000  0.0000  0.0000
P  0.5000  0.5000  0.0000
As  0.1344  0.6344  0.5000
As  0.6344  0.8656  0.5000
As  0.8656  0.3656  0.5000
As  0.3656  0.1344  0.5000
Se  0.2951  0.7951  0.0000
Se  0.7951  0.7049  0.0000
Se  0.7049  0.2049  0.0000
Se  0.2049  0.2951  0.0000

Summary:
Relative energy among the computed polymorphs: 8 meV per atom
Symmetry: P4/mbm, No. 127

No. 2
DFT (PBE-GGA) results for Y2GeC after structural relaxation.

Unit cell a=7.0112 b=7.0112 c=6.0939 alpha=54.88 beta=54.88 gamma=90.00
Positions (direct):
Y  0.5609  0.1250  0.2500
Y  0.1891  0.6250  0.2500
Y  0.3750  0.4391  0.7500
Y  0.8750  0.8109  0.7500
Ge  0.0000  0.0000  0.0000
Ge  0.7500  0.2500  0.5000
C  0.5000  0.5000  0.0000
C  0.2500  0.7500  0.5000

Summary:
Formation energy from the elements: -0.1720 eV/atom
Symmetry: I-42d, No. 122

No. 3
DFT (PBE-GGA) results for Pr5Cd3In after structural relaxation.

Unit cell a=6.8395 b=9.6341 c=9.6342 alpha=120.00 beta=90.00 gamma=90.00
Positions (direct):
Pr  0.0000  0.6667  0.3333
Pr  0.5000  0.3333  0.6667
Pr  0.0000  0.3333  0.6667
Pr  0.5000  0.6667  0.3333
Pr  0.7500  0.7033  0.7032
Pr  0.7500  0.0000  0.2968
Pr  0.7500  0.2967  0.0000
Pr  0.2500  0.2967  0.2968
Pr  0.2500  0.0000  0.7032
Pr  0.2500  0.7033  0.0000
Cd  0.7500  0.3644  0.3643
Cd  0.7500  0.0000  0.6357
Cd  0.7500  0.6357  0.0000
Cd  0.2500  0.6356  0.6357
Cd  0.2500  0.0000  0.3643
Cd  0.2500  0.3643  0.0000
In  0.0000  0.0000  0.0000
In  0.5000  0.0000  0.0000

Summary:
Formation energy from the elements: -0.2624 eV/atom
Symmetry: P6_3/mcm, No. 193

No. 4
DFT (PBE-GGA) results for Rb4ZrSe4 after structural relaxation.

Unit cell a=7.6788 b=9.6788 c=9.6788 alpha=90.00 beta=90.00 gamma=90.00
Positions (direct):
Rb  0.3563  0.2770  0.9997
Rb  0.8563  0.5003  0.7770
Rb  0.3563  0.7230  0.0003
Rb  0.1437  0.2230  0.5003
Rb  0.6437  0.9997  0.7230
Rb  0.1437  0.7770  0.4997
Rb  0.8563  0.4997  0.2230
Rb  0.6437  0.0003  0.2770
Zr  0.0000  0.0000  0.0000
Zr  0.5000  0.5000  0.5000
Se  0.6920  0.7152  0.4998
Se  0.6920  0.2848  0.5002
Se  0.1920  0.9998  0.7848
Se  0.8080  0.2152  0.9998
Se  0.8080  0.7848  0.0002
Se  0.3080  0.4998  0.2848
Se  0.3080  0.5002  0.7152
Se  0.1920  0.0002  0.2152

Summary:
VASP energy: -4.23 eV/atom
Symmetry: P4_2/nmc, No. 137

No. 5
DFT (PBE-GGA) results for Nd4SiSe2O after structural relaxation.

Unit cell a=4.0880 b=6.9469 c=7.3028 alpha=109.10 beta=90.00 gamma=90.00
Positions (direct):
Nd  0.5000  0.2285  0.2174
Nd  0.5000  0.7715  0.7826
Nd  0.0000  0.2397  0.7761
Nd  0.0000  0.7603  0.2239
Si  0.5000  0.5000  0.0000
Se  0.5000  0.0000  0.5000
Se  0.0000  0.5000  0.5000
O  0.0000  0.0000  0.0000

Summary:
VASP energy: -6.26 eV/atom
Symmetry: P2/m, No. 10

No. 6
DFT (PBE-GGA) results for PaNb2Zn after structural relaxation.

Unit cell a=3.6790 b=4.5402 c=4.5402 alpha=90.00 beta=90.00 gamma=90.00
Positions (direct):
Nb  0.0000  0.0000  0.5000
Nb  0.0000  0.5000  0.0000
Pa  0.5000  0.5000  0.5000
Zn  0.5000  0.0000  0.0000

Summary:
Relative energy among the computed polymorphs: 0 meV per atom
Formation energy from the elements: 0.0472 eV/atom
Symmetry: P4/mmm, No. 123

No. 7
DFT (PBE-GGA) results for Nd6Dy2YTh after structural relaxation.

Unit cell a=9.7974 b=8.8926 c=8.8926 alpha=116.70 beta=94.24 gamma=94.24
Positions (direct):
Nd  0.0570  0.1097  0.7590
Nd  0.4430  0.2410  0.8903
Nd  0.9430  0.8903  0.2410
Nd  0.5570  0.7590  0.1097
Nd  0.3139  0.9880  0.4257
Nd  0.1861  0.5743  0.0120
Nd  0.6861  0.0120  0.5743
Nd  0.8139  0.4257  0.9880
Nd  0.1197  0.7030  0.4880
Nd  0.3803  0.5120  0.2970
Nd  0.8803  0.2970  0.5120
Nd  0.6197  0.4880  0.7030
Dy  0.4508  0.8001  0.7095
Dy  0.0492  0.2905  0.1999
Dy  0.5492  0.1999  0.2905
Dy  0.9508  0.7095  0.8001
Y  0.2500  0.4077  0.5923
Y  0.7500  0.5923  0.4077
Th  0.2500  0.9716  0.0284
Th  0.7500  0.0284  0.9716

Summary:
Formation energy from the elements: 0.1415 eV/atom
Symmetry: C2/c, No. 15

No. 8
DFT (PBE-GGA) results for CaLaPrPb after structural relaxation.

Unit cell a=5.7261 b=5.7261 c=5.7261 alpha=60.00 beta=60.00 gamma=60.00
Positions (direct):
Pb  0.2500  0.2500  0.2500
Pr  0.5000  0.5000  0.5000
Ca  0.7500  0.7500  0.7500
La  0.0000  0.0000  0.0000

Summary:
Formation energy from the elements: -0.2164 eV/atom
Symmetry: F-43m, No. 216

No. 9
DFT (PBE-GGA) results for Y2AgPb after structural relaxation.

Unit cell a=5.3473 b=5.3473 c=5.3473 alpha=60.00 beta=60.00 gamma=60.00
Positions (direct):
Ag  0.5000  0.5000  0.5000
Pb  0.7500  0.7500  0.7500
Y  0.0000  0.0000  0.0000
Y  0.2500  0.2500  0.2500

Summary:
Formation energy from the elements: 0.0726 eV/atom
Symmetry: F-43m, No. 216

No. 10
DFT (PBE-GGA) results for Ti2CrCo2 after structural relaxation.

Unit cell a=6.7150 b=6.7150 c=2.9296 alpha=90.00 beta=90.00 gamma=90.00
Positions (direct):
Cr  0.0000  0.0000  0.0000
Cr  0.5000  0.5000  0.0000
Co  0.3699  0.8699  0.0000
Co  0.8699  0.6301  0.0000
Co  0.6301  0.1301  0.0000
Co  0.1301  0.3699  0.0000
Ti  0.1709  0.6709  0.5000
Ti  0.6709  0.8291  0.5000
Ti  0.8291  0.3291  0.5000
Ti  0.3291  0.1709  0.5000

Summary:
Relative energy among the computed polymorphs: 0 meV per atom
Formation energy from the elements: -0.0256 eV/atom
Symmetry: P4/mbm, No. 127

No. 11
DFT (PBE-GGA) results for NiAg2H2 after structural relaxation.

Unit cell a=3.2789 b=3.2789 c=5.5918 alpha=72.95 beta=72.95 gamma=90.00
Positions (direct):
Ni  0.0000  0.0000  0.0000
Ag  0.3578  0.3578  0.2844
Ag  0.6422  0.6422  0.7156
H  0.7500  0.2500  0.5000
H  0.2500  0.7500  0.5000

Summary:
Relative energy among the computed polymorphs: 270 meV per atom
Symmetry: I4/mmm, No. 139

No. 12
DFT (PBE-GGA) results for KRuAu2 after structural relaxation.

Unit cell a=4.8901 b=4.8901 c=4.8901 alpha=60.00 beta=60.00 gamma=60.00
Positions (direct):
Ru  0.5000  0.5000  0.5000
K  0.0000  0.0000  0.0000
Au  0.2500  0.2500  0.2500
Au  0.7500  0.7500  0.7500

Summary:
Relative energy among the computed polymorphs: 418 meV per atom
Formation energy from the elements: 0.7364 eV/atom
Symmetry: Fm-3m, No. 225

No. 13
DFT (PBE-GGA) results for BaLi2InF8 after structural relaxation.

Unit cell a=5.2783 b=5.2783 c=7.5261 alpha=90.00 beta=90.00 gamma=120.00
Positions (direct):
Ba  0.0000  0.0000  0.0000
Li  0.6667  0.3333  0.2712
Li  0.3333  0.6667  0.7288
In  0.0000  0.0000  0.5000
F  0.3333  0.6667  0.9817
F  0.3067  0.2923  0.3171
F  0.7077  0.0143  0.3171
F  0.6667  0.3333  0.0183
F  0.2923  0.9857  0.6829
F  0.6933  0.7077  0.6829
F  0.0143  0.3067  0.6829
F  0.9857  0.6933  0.3171

Summary:
VASP energy: -4.66 eV/atom
Symmetry: P-3, No. 147

No. 14
DFT (PBE-GGA) results for Pm6Nd3Y after structural relaxation.

Unit cell a=6.5367 b=11.1237 c=11.1237 alpha=120.84 beta=90.00 gamma=90.00
Positions (direct):
Pm  0.0574  0.7146  0.6284
Pm  0.5574  0.6284  0.7146
Pm  0.3658  0.5218  0.9407
Pm  0.8658  0.9407  0.5218
Pm  0.3566  0.9678  0.0322
Pm  0.6540  0.2769  0.7231
Pm  0.1540  0.7231  0.2769
Pm  0.8566  0.0322  0.9678
Pm  0.3658  0.0593  0.4782
Pm  0.8658  0.4782  0.0593
Pm  0.0574  0.3716  0.2854
Pm  0.5574  0.2854  0.3716
Nd  0.4676  0.9412  0.7080
Nd  0.9676  0.7080  0.9412
Nd  0.0820  0.3855  0.6145
Nd  0.5820  0.6145  0.3855
Nd  0.9676  0.0588  0.2920
Nd  0.4676  0.2920  0.0588
Y  0.1112  0.1879  0.8121
Y  0.6112  0.8121  0.1879

Summary:
Relative energy among the computed polymorphs: 0 meV per atom
Formation energy from the elements: 0.1379 eV/atom
Symmetry: Cmc2_1, No. 36

No. 15
DFT (PBE-GGA) results for Tb12Zn3C5 after structural relaxation.

Unit cell a=13.6171 b=13.6171 c=13.6171 alpha=109.47 beta=109.47 gamma=109.47
Positions (direct):
Zn  0.7500  0.3750  0.1250
Zn  0.8750  0.7500  0.1250
Zn  0.3750  0.7500  0.6250
Zn  0.2500  0.1250  0.3750
Zn  0.8750  0.1250  0.2500
Zn  0.3750  0.6250  0.2500
Zn  0.6250  0.3750  0.7500
Zn  0.1250  0.8750  0.7500
Zn  0.7500  0.8750  0.6250
Zn  0.6250  0.2500  0.3750
Zn  0.1250  0.2500  0.8750
Zn  0.2500  0.6250  0.8750
Tb  0.7034  0.1154  0.0211
Tb  0.3177  0.5211  0.4057
Tb  0.9789  0.3846  0.2966
Tb  0.5211  0.2034  0.1154
Tb  0.5880  0.7034  0.6823
Tb  0.9789  0.5943  0.1823
Tb  0.3177  0.7966  0.4120
Tb  0.0943  0.9120  0.1154
Tb  0.5943  0.9789  0.6823
Tb  0.7034  0.5880  0.1823
Tb  0.7966  0.4789  0.3846
Tb  0.8177  0.9057  0.0211
Tb  0.1154  0.7034  0.5211
Tb  0.3846  0.4057  0.0880
Tb  0.0880  0.9057  0.3846
Tb  0.4120  0.1154  0.5943
Tb  0.0880  0.1823  0.2034
Tb  0.4789  0.6823  0.0943
Tb  0.8177  0.9120  0.2966
Tb  0.1154  0.4120  0.0943
Tb  0.3846  0.9789  0.7966
Tb  0.5943  0.6154  0.4120
Tb  0.9057  0.8177  0.5211
Tb  0.7966  0.3177  0.9120
Tb  0.4057  0.3846  0.5880
Tb  0.0943  0.1823  0.4789
Tb  0.2034  0.6823  0.0880
Tb  0.1823  0.0880  0.7034
Tb  0.6154  0.0211  0.2034
Tb  0.8846  0.5880  0.9057
Tb  0.5211  0.3177  0.9057
Tb  0.5880  0.8846  0.4057
Tb  0.9120  0.8177  0.7966
Tb  0.9120  0.0943  0.6154
Tb  0.8846  0.2966  0.4789
Tb  0.1823  0.0943  0.9789
Tb  0.6154  0.5943  0.9120
Tb  0.4057  0.0211  0.3177
Tb  0.2966  0.4120  0.8177
Tb  0.2034  0.5211  0.6154
Tb  0.9057  0.0880  0.8846
Tb  0.6823  0.2034  0.5880
Tb  0.4789  0.7966  0.8846
Tb  0.0211  0.4057  0.8177
Tb  0.4120  0.2966  0.3177
Tb  0.0211  0.6154  0.7034
Tb  0.6823  0.4789  0.5943
Tb  0.2966  0.8846  0.9789
C  0.1250  0.3750  0.2500
C  0.0000  0.5000  0.0000
C  0.0000  0.0000  0.0000
C  0.3750  0.2500  0.1250
C  0.5000  0.0000  0.5000
C  0.5000  0.5000  0.0000
C  0.1250  0.7500  0.3750
C  0.7500  0.1250  0.8750
C  0.7500  0.6250  0.3750
C  0.3750  0.1250  0.7500
C  0.6250  0.8750  0.2500
C  0.5000  0.5000  0.5000
C  0.5000  0.0000  0.0000
C  0.0000  0.0000  0.5000
C  0.2500  0.3750  0.6250
C  0.2500  0.8750  0.1250
C  0.0000  0.5000  0.5000
C  0.8750  0.2500  0.6250
C  0.6250  0.7500  0.8750
C  0.8750  0.6250  0.7500

Summary:
Formation energy from the elements: -0.0756 eV/atom
Symmetry: Ia-3d, No. 230

No. 16
DFT (PBE-GGA) results for CsLiY2 after structural relaxation.

Unit cell a=5.6815 b=5.6815 c=5.6815 alpha=60.00 beta=60.00 gamma=60.00
Positions (direct):
Cs  0.5000  0.5000  0.5000
Y  0.2500  0.2500  0.2500
Y  0.7500  0.7500  0.7500
Li  0.0000  0.0000  0.0000

Summary:
Relative energy among the computed polymorphs: 0 meV per atom
Formation energy from the elements: 0.6613 eV/atom
Symmetry: Fm-3m, No. 225

No. 17
DFT (PBE-GGA) results for Li2In8Au after structural relaxation.

Unit cell a=4.6473 b=4.6473 c=12.2802 alpha=90.00 beta=90.00 gamma=90.00
Positions (direct):
Li  0.0000  0.0000  0.3269
Li  0.0000  0.0000  0.6731
In  0.0000  0.5000  0.5000
In  0.5000  0.0000  0.5000
In  0.5000  0.5000  0.3142
In  0.5000  0.5000  0.6858
In  0.0000  0.5000  0.1395
In  0.5000  0.0000  0.1395
In  0.0000  0.5000  0.8605
In  0.5000  0.0000  0.8605
Au  0.0000  0.0000  0.0000

Summary:
Formation energy from the elements: -0.1434 eV/atom
Symmetry: P4/mmm, No. 123

No. 18
DFT (PBE-GGA) results for Ca4Zn3Pd2 after structural relaxation.

Unit cell a=4.0860 b=7.1304 c=8.2109 alpha=108.77 beta=104.41 gamma=90.00
Positions (direct):
Ca  0.2308  0.6927  0.4617
Ca  0.7692  0.3073  0.5383
Ca  0.5736  0.8666  0.1472
Ca  0.4264  0.1334  0.8528
Zn  0.0986  0.2235  0.1972
Zn  0.9014  0.7765  0.8028
Zn  0.0000  0.5000  0.0000
Pd  0.4027  0.5464  0.8054
Pd  0.5973  0.4536  0.1946

Summary:
Formation energy from the elements: -0.4566 eV/atom
Symmetry: C2/m, No. 12

No. 19
DFT (PBE-GGA) results for AlPt2Br after structural relaxation.

Unit cell a=3.8406 b=4.5408 c=4.5407 alpha=75.31 beta=90.00 gamma=90.00
Positions (direct):
Br  0.5000  0.7500  0.7500
Pt  0.0000  0.0391  0.0391
Pt  0.0000  0.4609  0.4609
Al  0.5000  0.2500  0.2500

Summary:
Relative energy among the computed polymorphs: 276 meV per atom
Symmetry: Cmmm, No. 65